[1]
VASP calculation (GGA-PBE) on a geometry-optimized FeCo2Cl structure.

Values from the calculation:
The calculation puts the energy above the most stable polymorph in this dataset at 539 meV/atom. The value obtained for the uncorrected formation energy is 679 meV/atom. As for the space group: No. 119.

a = 4.8768 Å, b = 4.8768 Å, c = 4.8768 Å
α = 137.76°, β = 137.76°, γ = 61.28°
Fractional coordinates of all 4 atoms:
1 Co 0.0000 0.0000 0.0000
2 Co 0.2500 0.7500 0.5000
3 Fe 0.5000 0.5000 0.0000
4 Cl 0.7500 0.2500 0.5000


[2]
VASP calculation (GGA-PBE) on a geometry-optimized Fe2CoCl structure.

Values from the calculation:
The calculation puts the energy above the most stable polymorph in this dataset at 509 meV/atom. The value obtained for the uncorrected formation energy is 647 meV/atom. As for the space group: No. 119.

a = 5.0349 Å, b = 5.0349 Å, c = 5.0349 Å
α = 139.20°, β = 139.20°, γ = 59.07°
Fractional coordinates of all 4 atoms:
1 Co 0.7500 0.2500 0.5000
2 Fe 0.0000 0.0000 0.0000
3 Fe 0.2500 0.7500 0.5000
4 Cl 0.5000 0.5000 0.0000


[3]
VASP calculation (GGA-PBE) on a geometry-optimized Fe2CoCl structure.

Values from the calculation:
The calculation puts the energy above the most stable polymorph in this dataset at 145 meV/atom. The value obtained for the uncorrected formation energy is 284 meV/atom. As for the space group: No. 8.

a = 4.1498 Å, b = 4.1498 Å, c = 6.1235 Å
α = 86.15°, β = 86.15°, γ = 40.70°
Fractional coordinates of all 4 atoms:
1 Co 0.6720 0.6720 0.8510
2 Fe 0.9454 0.9454 0.9911
3 Fe 0.2139 0.2139 0.1768
4 Cl 0.6687 0.6687 0.4811


[4]
VASP calculation (GGA-PBE) on a geometry-optimized FeCoCl4 structure.

Values from the calculation:
The value obtained for the uncorrected formation energy is 1228 meV/atom. As for the space group: No. 216.

a = 5.7763 Å, b = 5.7763 Å, c = 5.7763 Å
α = 60.00°, β = 60.00°, γ = 60.00°
Fractional coordinates of all 6 atoms:
1 Fe 0.0000 0.0000 0.0000
2 Co 0.7500 0.7500 0.7500
3 Cl 0.8744 0.3752 0.3752
4 Cl 0.3752 0.3752 0.8744
5 Cl 0.3752 0.8744 0.3752
6 Cl 0.3752 0.3752 0.3752


[5]
VASP calculation (GGA-PBE) on a geometry-optimized Fe2CoCl structure.

Values from the calculation:
The calculation puts the energy above the most stable polymorph in this dataset at 566 meV/atom. The value obtained for the uncorrected formation energy is 705 meV/atom. As for the space group: No. 216.

a = 4.2013 Å, b = 4.2013 Å, c = 4.2013 Å
α = 60.00°, β = 60.00°, γ = 60.00°
Fractional coordinates of all 4 atoms:
1 Co 0.7500 0.7500 0.7500
2 Fe 0.0000 0.0000 0.0000
3 Fe 0.2500 0.2500 0.2500
4 Cl 0.5000 0.5000 0.5000


[6]
VASP calculation (GGA-PBE) on a geometry-optimized FeCo3Cl structure.

Values from the calculation:
The calculation puts the energy above the most stable polymorph in this dataset at 327 meV/atom. The value obtained for the uncorrected formation energy is 1215 meV/atom. As for the space group: No. 221.

a = 4.4171 Å, b = 4.4171 Å, c = 4.4171 Å
α = 90.00°, β = 90.00°, γ = 90.00°
Fractional coordinates of all 5 atoms:
1 Co 0.0000 0.5000 0.0000
2 Co 0.0000 0.0000 0.5000
3 Co 0.5000 0.0000 0.0000
4 Fe 0.0000 0.0000 0.0000
5 Cl 0.5000 0.5000 0.5000


[7]
VASP calculation (GGA-PBE) on a geometry-optimized FeCo2Cl structure.

Values from the calculation:
The calculation puts the energy above the most stable polymorph in this dataset at 45 meV/atom. The value obtained for the uncorrected formation energy is 184 meV/atom. As for the space group: No. 47.

a = 2.9129 Å, b = 3.0165 Å, c = 6.4344 Å
α = 90.00°, β = 90.00°, γ = 90.00°
Fractional coordinates of all 4 atoms:
1 Co 0.0000 0.7499 0.0499
2 Co 0.0000 0.7501 0.4501
3 Fe 0.5000 0.2500 0.2500
4 Cl 0.5000 0.7500 0.7500


[8]
VASP calculation (GGA-PBE) on a geometry-optimized FeCo2Cl6 structure.

Values from the calculation:
The value obtained for the uncorrected formation energy is -608 meV/atom. As for the space group: No. 15.

a = 6.2122 Å, b = 9.5794 Å, c = 9.5794 Å
α = 92.08°, β = 73.55°, γ = 73.55°
Fractional coordinates of all 18 atoms:
1 Fe 0.2500 0.2217 0.7783
2 Fe 0.7500 0.7783 0.2217
3 Co 0.1272 0.6534 0.8118
4 Co 0.3728 0.1882 0.3466
5 Co 0.8728 0.3466 0.1882
6 Co 0.6272 0.8118 0.6534
7 Cl 0.2934 0.7729 0.6343
8 Cl 0.2066 0.3657 0.2271
9 Cl 0.7066 0.2271 0.3657
10 Cl 0.7934 0.6343 0.7729
11 Cl 0.8715 0.7955 0.4222
12 Cl 0.6285 0.5778 0.2045
13 Cl 0.1285 0.2045 0.5778
14 Cl 0.3715 0.4222 0.7955
15 Cl 0.0697 0.7779 0.0316
16 Cl 0.4303 0.9684 0.2221
17 Cl 0.9303 0.2221 0.9684
18 Cl 0.5697 0.0316 0.7779


[9]
VASP calculation (GGA-PBE) on a geometry-optimized FeCo2Cl structure.

Values from the calculation:
The calculation puts the energy above the most stable polymorph in this dataset at 47 meV/atom. The value obtained for the uncorrected formation energy is 186 meV/atom. As for the space group: No. 25.

a = 2.9328 Å, b = 3.0812 Å, c = 6.4333 Å
α = 89.98°, β = 90.00°, γ = 90.00°
Fractional coordinates of all 4 atoms:
1 Co 0.0000 0.7502 0.0638
2 Co 0.5000 0.2500 0.2410
3 Fe 0.0000 0.7496 0.4458
4 Cl 0.5000 0.7502 0.7494


[10]
VASP calculation (GGA-PBE) on a geometry-optimized Fe2CoCl structure.

Values from the calculation:
The calculation puts the energy above the most stable polymorph in this dataset at 108 meV/atom. The value obtained for the uncorrected formation energy is 246 meV/atom. As for the space group: No. 65.

a = 2.8618 Å, b = 2.8619 Å, c = 6.7055 Å
α = 90.00°, β = 90.00°, γ = 89.90°
Fractional coordinates of all 4 atoms:
1 Co 0.5000 0.5000 0.7500
2 Fe 0.0000 0.0000 0.9657
3 Fe 0.0000 0.0000 0.5343
4 Cl 0.5000 0.5000 0.2500


[11]
VASP calculation (GGA-PBE) on a geometry-optimized Fe2CoCl structure.

Values from the calculation:
The calculation puts the energy above the most stable polymorph in this dataset at 251 meV/atom. The value obtained for the uncorrected formation energy is 390 meV/atom. As for the space group: No. 44.

a = 6.2154 Å, b = 6.2154 Å, c = 6.2154 Å
α = 152.69°, β = 146.03°, γ = 44.12°
Fractional coordinates of all 4 atoms:
1 Co 0.2586 0.7586 0.5000
2 Fe 0.0767 0.0767 0.0000
3 Fe 0.7149 0.2149 0.5000
4 Cl 0.4498 0.4498 0.0000


[12]
VASP calculation (GGA-PBE) on a geometry-optimized Fe2CoCl structure.

Values from the calculation:
The calculation puts the energy above the most stable polymorph in this dataset at 0 meV/atom. The value obtained for the uncorrected formation energy is 139 meV/atom. As for the space group: No. 47.

a = 2.8882 Å, b = 3.1055 Å, c = 6.5786 Å
α = 89.98°, β = 90.00°, γ = 90.00°
Fractional coordinates of all 4 atoms:
1 Co 0.5000 0.7500 0.7500
2 Fe 0.0000 0.2498 0.9447
3 Fe 0.0000 0.2502 0.5553
4 Cl 0.5000 0.2500 0.2500